FeSnN2F after structural relaxation. Source: the Alexandria database, functional GGA+U.

a = 4.109 Å, b = 4.109 Å, c = 4.148 Å
α = 90.00°, β = 90.00°, γ = 90.00°
Sites, in units of the cell vectors:
Fe (0.000, 0.000, 0.000)
Sn (0.500, 0.500, 0.500)
N (0.000, 0.500, 0.500)
N (0.500, 0.000, 0.500)
F (0.500, 0.500, 0.000)

Results
N(E_F), states/eV per atom: 0.142
Magnetic moment, μB per formula unit: 3.6
DFT total energy, eV per cell: -25.97
SG: P4/mmm (123)